A relaxed structure of BaSi2, computed with GGA-PBE.

a b c (Å): 6.9140 6.9140 6.6373
angles (deg): 90.00 90.00 146.67
Atoms (fractional coordinates):
Ba: 0.8664 0.1336 0.7500
Ba: 0.1336 0.8664 0.2500
Si: 0.1658 0.8342 0.7500
Si: 0.5680 0.4320 0.7500
Si: 0.4320 0.5680 0.2500
Si: 0.8342 0.1658 0.2500

Output
Formation energy without anion corrections ... -0.1693 eV per atom